PBE AcTb2Sm4Er, relaxed; energy of formation from the pure elements = 1.06 eV per formula unit; E_tot = -4.469 eV/atom; calculated volume = 274.4 Å³ per cell; magnetization = 0.00 μB/f.u.; space group = P4/mmm, No. 123
1.0
-2.507 -1.126 5.295
3.352 -4.897 0.546
8.851 -0.749 4.033
Ac Tb Sm Er
1 2 4 1
Direct
0.500 0.500 0.000
0.000 0.000 0.000
0.500 0.000 0.500
0.000 0.769 0.731
0.000 0.231 0.269
0.500 0.730 0.270
0.500 0.270 0.730
0.000 0.500 0.500